Here is a relaxed structure of Sm5In2Sb from the Alexandria database. Energies are from PBE.

abc: 8.583 8.583 8.909
angles: 118.80 118.80 90.00
Atoms (fractional coordinates):
Sm 0.508 0.690 0.697
Sm 0.810 0.992 0.303
Sm 0.000 0.000 0.000
Sm 0.500 0.500 0.000
Sm 0.190 0.008 0.697
Sm 0.690 0.190 0.697
Sm 0.008 0.508 0.697
Sm 0.310 0.810 0.303
Sm 0.992 0.492 0.303
Sm 0.492 0.310 0.303
In 0.139 0.361 0.000
In 0.639 0.139 0.000
In 0.361 0.861 0.000
In 0.861 0.639 0.000
Sb 0.750 0.750 0.500
Sb 0.250 0.250 0.500

As for the mass density: 7.6 Mg/m³. The uncorrected formation energy comes out at -0.5381 eV/atom. Its space group is I4/mcm.